(1)
Here is HoTlPt after structural relaxation from Alexandria. Energies are from PBE.

VASP energy   -5.0437 eV/atom
Total magnetization   0.000 μB per atom
Calculated formation energy   -715 meV per atom

Unit cell a=4.970 b=4.970 c=7.651 alpha=71.05 beta=71.05 gamma=60.00
Sites, in units of the cell vectors:
Pt 0.255 0.255 0.236
Pt 0.745 0.745 0.764
Tl 0.118 0.118 0.645
Tl 0.882 0.882 0.355
Ho 0.384 0.384 0.848
Ho 0.616 0.616 0.152



(2)
Here is Ho2TlPt after structural relaxation from Alexandria. Energies are from PBE.

VASP energy   -5.1916 eV/atom
Total magnetization   0.000 μB per atom
ΔE to the lowest computed polymorph   1.0 meV per atom
Calculated formation energy   -801 meV per atom

Unit cell a=3.558 b=3.558 c=7.616 alpha=90.00 beta=90.00 gamma=90.00
Sites, in units of the cell vectors:
Tl 0.500 0.500 0.500
Ho 0.000 0.000 0.782
Ho 0.000 0.000 0.218
Pt 0.500 0.500 0.000



(3)
Here is Ho3TlPt after structural relaxation from Alexandria. Energies are from PBE.

VASP energy   -5.0070 eV/atom
Total magnetization   0.000 μB per atom
ΔE to the lowest computed polymorph   84.7 meV per atom
Calculated formation energy   -579 meV per atom

Unit cell a=3.778 b=7.987 c=9.868 alpha=90.00 beta=90.00 gamma=103.68
Sites, in units of the cell vectors:
Ho 0.661 0.323 0.930
Ho 0.661 0.323 0.570
Ho 0.339 0.677 0.070
Ho 0.875 0.750 0.750
Ho 0.125 0.250 0.250
Ho 0.339 0.677 0.430
Tl 0.000 0.000 0.500
Tl 0.000 0.000 0.000
Pt 0.755 0.510 0.250
Pt 0.245 0.490 0.750



(4)
Here is Ho6TlPt after structural relaxation from Alexandria. Energies are from PBE.

VASP energy   -4.6531 eV/atom
Total magnetization   0.000 μB per atom
Calculated formation energy   -169 meV per atom

Unit cell a=7.057 b=7.086 c=7.214 alpha=60.88 beta=61.05 gamma=59.98
Sites, in units of the cell vectors:
Ho 0.035 0.429 0.757
Ho 0.778 0.032 0.757
Ho 0.571 0.220 0.243
Ho 0.222 0.968 0.243
Ho 0.965 0.571 0.243
Ho 0.429 0.780 0.757
Tl 0.500 0.500 0.500
Pt 0.000 0.000 0.000



(5)
Here is Ho2TlPt after structural relaxation from Alexandria. Energies are from PBE.

VASP energy   -5.1171 eV/atom
Total magnetization   0.000 μB per atom
ΔE to the lowest computed polymorph   75.5 meV per atom
Calculated formation energy   -726 meV per atom

Unit cell a=3.956 b=3.956 c=8.427 alpha=76.43 beta=76.43 gamma=60.00
Sites, in units of the cell vectors:
Tl 0.500 0.500 0.500
Ho 0.267 0.267 0.200
Ho 0.733 0.733 0.800
Pt 0.000 0.000 0.000



(6)
Here is Ho12TlPt6 after structural relaxation from Alexandria. Energies are from PBE.

VASP energy   -5.7753 eV/atom
Total magnetization   0.000 μB per atom
Calculated formation energy   -852 meV per atom

Unit cell a=8.601 b=8.601 c=8.601 alpha=109.47 beta=109.47 gamma=109.47
Sites, in units of the cell vectors:
Ho 0.299 0.118 0.819
Ho 0.299 0.480 0.181
Ho 0.701 0.520 0.819
Ho 0.701 0.882 0.181
Ho 0.118 0.819 0.299
Ho 0.480 0.181 0.299
Ho 0.520 0.819 0.701
Ho 0.882 0.181 0.701
Ho 0.819 0.299 0.118
Ho 0.181 0.299 0.480
Ho 0.819 0.701 0.520
Ho 0.181 0.701 0.882
Tl 0.000 0.000 0.000
Pt 0.361 0.500 0.861
Pt 0.639 0.500 0.139
Pt 0.500 0.861 0.361
Pt 0.500 0.139 0.639
Pt 0.861 0.361 0.500
Pt 0.139 0.639 0.500



(7)
Here is HoTlPt after structural relaxation from Alexandria. Energies are from PBE.

VASP energy   -4.9713 eV/atom
Total magnetization   0.000 μB per atom
Calculated formation energy   -643 meV per atom

Unit cell a=3.748 b=3.748 c=5.510 alpha=109.89 beta=109.89 gamma=90.00
Sites, in units of the cell vectors:
Tl 0.289 0.289 0.578
Ho 0.598 0.598 0.197
Pt 0.963 0.963 0.926



(8)
Here is Ho4TlPt after structural relaxation from Alexandria. Energies are from PBE.

VASP energy   -4.8781 eV/atom
Total magnetization   0.000 μB per atom
ΔE to the lowest computed polymorph   212.2 meV per atom
Calculated formation energy   -425 meV per atom

Unit cell a=6.951 b=7.071 c=7.451 alpha=90.00 beta=91.94 gamma=90.00
Sites, in units of the cell vectors:
Ho 0.876 0.642 0.179
Ho 0.624 0.142 0.821
Ho 0.329 0.340 0.359
Ho 0.171 0.840 0.641
Ho 0.124 0.358 0.821
Ho 0.376 0.858 0.179
Ho 0.671 0.660 0.641
Ho 0.829 0.160 0.359
Tl 0.000 0.000 0.000
Tl 0.500 0.500 0.000
Pt 0.500 0.000 0.500
Pt 0.000 0.500 0.500